Record 1
Entry from the Alexandria database: crystalline Ag2RuAu at its relaxed geometry (PBE).

Lattice parameters (Å, degrees): 5.7507 5.7507 5.7507 152.30 128.54 59.44
Closest atoms and distances in Å follow each position.
Positions (direct):
1 Ag 0.0000 0.0000 0.0000  4 Ag 2.75-2.92, 4 Ru 2.85, 2 Au 2.90
2 Ag 0.7425 0.2425 0.5000  4 Ag 2.75-2.92, 2 Ru 2.84, 4 Au 2.85
3 Ru 0.4941 0.4941 0.0000  2 Ru 2.75, 2 Au 2.76, 6 Ag 2.84-2.85
4 Au 0.2551 0.7551 0.5000  2 Au 2.75, 2 Ru 2.76, 6 Ag 2.85-2.90

Computed properties:
- E_form (meV per atom) = 431
- ρ (g cm⁻³) = 12.43
- space group = Imm2 (44)

Record 2
Entry from the Alexandria database: crystalline MgCo2Pt at its relaxed geometry (PBE).

Lattice parameters (Å, degrees): 4.6508 4.6508 2.6900 90.00 90.00 111.75
Closest atoms and distances in Å follow each position.
Positions (direct):
1 Mg 0.0000 0.0000 0.0000  2 Pt 2.61, 8 Co 2.69, 2 Mg 2.69
2 Co 0.0000 0.5000 0.5000  4 Co 2.61-2.69, 4 Mg 2.69, 4 Pt 2.69
3 Co 0.5000 0.0000 0.5000  4 Co 2.61-2.69, 4 Mg 2.69, 4 Pt 2.69
4 Pt 0.5000 0.5000 0.0000  2 Mg 2.61, 8 Co 2.69, 2 Pt 2.69

Computed properties:
- E_form (meV per atom) = -37
- ρ (g cm⁻³) = 10.36
- space group = Cmmm (65)

Record 3
Entry from the Alexandria database: crystalline BeTc2Ru at its relaxed geometry (PBE).

Lattice parameters (Å, degrees): 2.6396 2.6396 8.3767 90.00 90.00 113.85
Closest atoms and distances in Å follow each position.
Positions (direct):
1 Be 0.0000 0.0000 0.0000  4 Tc 2.42, 4 Be 2.64
2 Tc 0.5000 0.5000 0.2323  2 Be 2.42, 4 Tc 2.64, 2 Ru 2.67
3 Tc 0.5000 0.5000 0.7677  2 Be 2.42, 4 Tc 2.64, 2 Ru 2.67
4 Ru 0.0000 0.0000 0.5000  6 Ru 2.64-2.88, 4 Tc 2.67

Computed properties:
- E_form (meV per atom) = 259
- ρ (g cm⁻³) = 9.52
- space group = Cmmm (65)